The following is a DFT calculation (GGA-PBE) of BaSr2 after structural relaxation.

Cell: 7.510 7.510 7.510 Å, 146.38 131.93 59.94°
Fractional positions:
Ba1 0.000 0.000 0.000
Sr1 0.332 0.332 0.000
Sr2 0.668 0.668 0.000

As for the space-group type: No. 71. For the formation energy, the calculation gives 0.006 eV/atom. The energy comes out at -1.76 eV/atom. Its density of states at the Fermi level is 3.32 states/eV per cell. As for the magnetization: 0.00 μB per formula unit.


The following is a DFT calculation (GGA-PBE) of AcPaNiOs after structural relaxation.

Cell: 5.003 5.003 5.003 Å, 60.00 60.00 60.00°
Fractional positions:
Os1 0.750 0.750 0.750
Pa1 0.000 0.000 0.000
Ac1 0.500 0.500 0.500
Ni1 0.250 0.250 0.250

As for the space-group type: No. 216. For the formation energy, the calculation gives 0.081 eV/atom. The energy comes out at -7.57 eV/atom. Its density of states at the Fermi level is 6.75 states/eV per cell. As for the magnetization: 0.00 μB per formula unit.


The following is a DFT calculation (GGA-PBE) of SrLaI5 after structural relaxation.

Cell: 4.668 9.443 15.215 Å, 86.31 90.00 90.00°
Fractional positions:
I1 0.750 0.321 0.516
I2 0.250 0.352 0.864
I3 0.750 0.623 0.707
I4 0.750 0.146 0.075
La1 0.750 0.583 0.348
La2 0.250 0.417 0.652
I5 0.250 0.679 0.484
I6 0.250 0.077 0.683
I7 0.250 0.854 0.925
I8 0.750 0.923 0.317
Sr1 0.750 0.086 0.860
I9 0.750 0.648 0.136
I10 0.250 0.377 0.293
Sr2 0.250 0.914 0.140

As for the space-group type: No. 11. For the formation energy (no corrections), the calculation gives -11.00 eV per formula unit. The energy comes out at -3.62 eV/atom. Its density of states at the Fermi level is 0.00 states/eV per cell. As for the magnetization: 0.00 μB per formula unit.


The following is a DFT calculation (GGA-PBE) of Y2Ga9Fe3 after structural relaxation.

Cell: 7.378 7.378 10.502 Å, 89.80 110.60 120.27°
Each line ends with the local moment (μB).
Fractional positions:
Fe1 0.826 0.654 0.999  -0.92
Y1 0.336 0.249 0.750  0.01
Ga1 0.217 0.527 0.570  0.01
Ga2 0.876 0.858 0.569  0.01
Ga3 0.332 0.294 0.249  0.01
Fe2 0.500 0.000 0.000  1.34
Ga4 0.454 0.917 0.749  0.01
Ga5 0.668 0.706 0.751  0.01
Ga6 0.783 0.473 0.430  0.01
Fe3 0.500 0.500 0.500  1.34
Ga7 0.116 0.866 0.250  0.02
Y2 0.001 0.414 0.250  0.01
Fe4 0.846 0.173 0.499  -0.92
Ga8 0.124 0.142 0.431  0.01
Ga9 0.459 0.817 0.442  0.01
Ga10 0.125 0.982 0.942  0.01
Ga11 0.211 0.694 0.069  0.01
Ga12 0.541 0.183 0.558  0.01
Y3 0.664 0.751 0.250  0.01
Ga13 0.884 0.134 0.750  0.02
Fe5 0.174 0.346 0.001  -0.92
Fe6 0.154 0.827 0.501  -0.92
Ga14 0.457 0.647 0.930  0.01
Ga15 0.543 0.353 0.070  0.01
Y4 0.999 0.586 0.750  0.01
Ga16 0.789 0.306 0.931  0.01
Ga17 0.546 0.083 0.251  0.01
Ga18 0.875 0.018 0.058  0.01

As for the space-group type: No. 15. For the formation energy, the calculation gives -0.374 eV/atom. The energy comes out at -5.06 eV/atom. Its density of states at the Fermi level is 20.63 states/eV per cell. As for the magnetization: 0.40 μB per formula unit.


The following is a DFT calculation (GGA-PBE) of BaSi3Os after structural relaxation.

Cell: 4.797 4.797 4.797 Å, 90.00 90.00 90.00°
Fractional positions:
Ba1 0.500 0.500 0.500
Os1 0.000 0.000 0.000
Si1 0.500 0.000 0.000
Si2 0.000 0.500 0.000
Si3 0.000 0.000 0.500

As for the space-group type: No. 221. For the formation energy (no corrections), the calculation gives 0.83 eV per formula unit. The energy comes out at -5.72 eV/atom. Its density of states at the Fermi level is 6.34 states/eV per cell. As for the magnetization: 0.00 μB per formula unit.


The following is a DFT calculation (GGA-PBE) of TlZn2Te3 after structural relaxation.

Cell: 7.913 7.913 14.578 Å, 100.58 100.58 108.89°
Fractional positions:
Tl1 0.988 0.667 0.152
Tl2 0.236 0.414 0.652
Te1 0.822 0.705 0.526
Zn1 0.919 0.081 0.000
Te2 0.584 0.515 0.157
Te3 0.485 0.416 0.843
Te4 0.916 0.853 0.836
Zn2 0.417 0.583 0.000
Te5 0.177 0.608 0.343
Tl3 0.586 0.764 0.348
Tl4 0.333 0.012 0.848
Zn3 0.752 0.909 0.671
Te6 0.571 0.954 0.026
Te7 0.829 0.267 0.664
Zn4 0.167 0.833 0.500
Te8 0.295 0.178 0.474
Te9 0.147 0.084 0.164
Zn5 0.669 0.331 0.500
Te10 0.046 0.429 0.974
Te11 0.733 0.171 0.336
Zn6 0.511 0.169 0.171
Zn7 0.831 0.489 0.829
Zn8 0.091 0.248 0.329
Te12 0.392 0.823 0.657

As for the space-group type: No. 43. For the formation energy (no corrections), the calculation gives -1.74 eV per formula unit. The energy comes out at -2.68 eV/atom. Its density of states at the Fermi level is 12.97 states/eV per cell. As for the magnetization: 0.00 μB per formula unit.